1.
Density functional theory data (SCAN) for Ta2TlBr at its PBEsol-relaxed geometry.

```
data_Ta2TlBr
_chemical_formula_sum 'Ta2 Tl1 Br1'
_symmetry_space_group_name_H-M 'P 1'
_symmetry_Int_Tables_number 1
_cell_length_a 3.033
_cell_length_b 4.977
_cell_length_c 5.287
_cell_angle_alpha 90.00
_cell_angle_beta 90.00
_cell_angle_gamma 90.00
loop_
_symmetry_equiv_pos_as_xyz
'x,y,z'
loop_
_atom_site_label
_atom_site_type_symbol
_atom_site_fract_x
_atom_site_fract_y
_atom_site_fract_z
Ta1 Ta 0.000 0.000 0.000
Ta2 Ta 0.500 0.000 0.500
Tl1 Tl 0.000 0.500 0.500
Br1 Br 0.500 0.500 0.000
```

## Properties
**Energy relative to the lowest polymorph listed for this composition**: 0.4473 eV/atom



2.
Density functional theory data (SCAN) for Ta2TlBr at its PBEsol-relaxed geometry.

```
data_Ta2TlBr
_chemical_formula_sum 'Ta2 Tl1 Br1'
_symmetry_space_group_name_H-M 'P 1'
_symmetry_Int_Tables_number 1
_cell_length_a 3.297
_cell_length_b 5.065
_cell_length_c 5.217
_cell_angle_alpha 90.00
_cell_angle_beta 96.03
_cell_angle_gamma 90.00
loop_
_symmetry_equiv_pos_as_xyz
'x,y,z'
loop_
_atom_site_label
_atom_site_type_symbol
_atom_site_fract_x
_atom_site_fract_y
_atom_site_fract_z
Ta1 Ta 0.204 0.000 0.302
Ta2 Ta 0.796 0.000 0.698
Tl1 Tl 0.500 0.500 0.500
Br1 Br 0.000 0.500 0.000
```

## Properties
**Energy relative to the lowest polymorph listed for this composition**: 0.3608 eV/atom



3.
Density functional theory data (SCAN) for Ta2TlBr at its PBEsol-relaxed geometry.

```
data_Ta2TlBr
_chemical_formula_sum 'Ta2 Tl1 Br1'
_symmetry_space_group_name_H-M 'P 1'
_symmetry_Int_Tables_number 1
_cell_length_a 4.829
_cell_length_b 4.829
_cell_length_c 4.829
_cell_angle_alpha 60.00
_cell_angle_beta 60.00
_cell_angle_gamma 60.00
loop_
_symmetry_equiv_pos_as_xyz
'x,y,z'
loop_
_atom_site_label
_atom_site_type_symbol
_atom_site_fract_x
_atom_site_fract_y
_atom_site_fract_z
Ta1 Ta 0.000 0.000 0.000
Ta2 Ta 0.250 0.250 0.250
Tl1 Tl 0.750 0.750 0.750
Br1 Br 0.500 0.500 0.500
```

## Properties
**Energy relative to the lowest polymorph listed for this composition**: 0.7907 eV/atom



4.
Density functional theory data (SCAN) for Ta2TlBr at its PBEsol-relaxed geometry.

```
data_Ta2TlBr
_chemical_formula_sum 'Ta2 Tl1 Br1'
_symmetry_space_group_name_H-M 'P 1'
_symmetry_Int_Tables_number 1
_cell_length_a 3.395
_cell_length_b 3.395
_cell_length_c 7.761
_cell_angle_alpha 90.00
_cell_angle_beta 90.00
_cell_angle_gamma 90.00
loop_
_symmetry_equiv_pos_as_xyz
'x,y,z'
loop_
_atom_site_label
_atom_site_type_symbol
_atom_site_fract_x
_atom_site_fract_y
_atom_site_fract_z
Ta1 Ta 0.000 0.000 0.000
Ta2 Ta 0.500 0.500 0.169
Tl1 Tl 0.000 0.000 0.411
Br1 Br 0.500 0.500 0.790
```

## Properties
**Energy relative to the lowest polymorph listed for this composition**: 0.0000 eV/atom



5.
Density functional theory data (SCAN) for TaW2Br at its PBEsol-relaxed geometry.

```
data_TaW2Br
_chemical_formula_sum 'Ta1 W2 Br1'
_symmetry_space_group_name_H-M 'P 1'
_symmetry_Int_Tables_number 1
_cell_length_a 5.603
_cell_length_b 5.603
_cell_length_c 2.943
_cell_angle_alpha 103.88
_cell_angle_beta 103.88
_cell_angle_gamma 122.58
loop_
_symmetry_equiv_pos_as_xyz
'x,y,z'
loop_
_atom_site_label
_atom_site_type_symbol
_atom_site_fract_x
_atom_site_fract_y
_atom_site_fract_z
Ta1 Ta 0.000 0.000 0.000
W1 W 0.000 0.500 0.500
W2 W 0.500 0.000 0.500
Br1 Br 0.500 0.500 0.000
```

## Properties
**DFT total energy**: -55.36 eV per atom



6.
Density functional theory data (SCAN) for YTa2Br at its PBEsol-relaxed geometry.

```
data_YTa2Br
_chemical_formula_sum 'Y1 Ta2 Br1'
_symmetry_space_group_name_H-M 'P 1'
_symmetry_Int_Tables_number 1
_cell_length_a 9.072
_cell_length_b 9.072
_cell_length_c 9.072
_cell_angle_alpha 21.31
_cell_angle_beta 21.31
_cell_angle_gamma 21.31
loop_
_symmetry_equiv_pos_as_xyz
'x,y,z'
loop_
_atom_site_label
_atom_site_type_symbol
_atom_site_fract_x
_atom_site_fract_y
_atom_site_fract_z
Y1 Y 0.000 0.000 0.000
Ta1 Ta 0.494 0.494 0.494
Ta2 Ta 0.759 0.759 0.759
Br1 Br 0.247 0.247 0.247
```

## Properties
**Energy relative to the lowest polymorph listed for this composition**: 0.0000 eV/atom



7.
Density functional theory data (SCAN) for YTa2Br at its PBEsol-relaxed geometry.

```
data_YTa2Br
_chemical_formula_sum 'Y1 Ta2 Br1'
_symmetry_space_group_name_H-M 'P 1'
_symmetry_Int_Tables_number 1
_cell_length_a 6.244
_cell_length_b 6.244
_cell_length_c 6.244
_cell_angle_alpha 150.34
_cell_angle_beta 137.05
_cell_angle_gamma 53.07
loop_
_symmetry_equiv_pos_as_xyz
'x,y,z'
loop_
_atom_site_label
_atom_site_type_symbol
_atom_site_fract_x
_atom_site_fract_y
_atom_site_fract_z
Y1 Y 0.000 0.000 0.000
Ta1 Ta 0.262 0.762 0.500
Ta2 Ta 0.738 0.238 0.500
Br1 Br 0.500 0.500 0.000
```

## Properties
**Energy relative to the lowest polymorph listed for this composition**: 0.2911 eV/atom



8.
Density functional theory data (SCAN) for YTa2Br at its PBEsol-relaxed geometry.

```
data_YTa2Br
_chemical_formula_sum 'Y1 Ta2 Br1'
_symmetry_space_group_name_H-M 'P 1'
_symmetry_Int_Tables_number 1
_cell_length_a 3.246
_cell_length_b 5.680
_cell_length_c 4.580
_cell_angle_alpha 90.00
_cell_angle_beta 90.10
_cell_angle_gamma 90.00
loop_
_symmetry_equiv_pos_as_xyz
'x,y,z'
loop_
_atom_site_label
_atom_site_type_symbol
_atom_site_fract_x
_atom_site_fract_y
_atom_site_fract_z
Y1 Y 0.000 0.000 0.000
Ta1 Ta 0.264 0.500 0.772
Ta2 Ta 0.736 0.500 0.228
Br1 Br 0.500 0.000 0.500
```

## Properties
**Energy relative to the lowest polymorph listed for this composition**: 0.2793 eV/atom



9.
Density functional theory data (SCAN) for YTa2Br at its PBEsol-relaxed geometry.

```
data_YTa2Br
_chemical_formula_sum 'Y1 Ta2 Br1'
_symmetry_space_group_name_H-M 'P 1'
_symmetry_Int_Tables_number 1
_cell_length_a 4.960
_cell_length_b 4.960
_cell_length_c 4.960
_cell_angle_alpha 124.22
_cell_angle_beta 124.22
_cell_angle_gamma 82.83
loop_
_symmetry_equiv_pos_as_xyz
'x,y,z'
loop_
_atom_site_label
_atom_site_type_symbol
_atom_site_fract_x
_atom_site_fract_y
_atom_site_fract_z
Y1 Y 0.000 0.000 0.000
Ta1 Ta 0.250 0.750 0.500
Ta2 Ta 0.500 0.500 0.000
Br1 Br 0.750 0.250 0.500
```

## Properties
**Energy relative to the lowest polymorph listed for this composition**: 0.6303 eV/atom



10.
Density functional theory data (SCAN) for Ta3ZnBr at its PBEsol-relaxed geometry.

```
data_Ta3ZnBr
_chemical_formula_sum 'Ta3 Zn1 Br1'
_symmetry_space_group_name_H-M 'P 1'
_symmetry_Int_Tables_number 1
_cell_length_a 4.659
_cell_length_b 4.659
_cell_length_c 4.659
_cell_angle_alpha 90.00
_cell_angle_beta 90.00
_cell_angle_gamma 90.00
loop_
_symmetry_equiv_pos_as_xyz
'x,y,z'
loop_
_atom_site_label
_atom_site_type_symbol
_atom_site_fract_x
_atom_site_fract_y
_atom_site_fract_z
Ta1 Ta 0.000 0.000 0.500
Ta2 Ta 0.000 0.500 0.000
Ta3 Ta 0.500 0.000 0.000
Zn1 Zn 0.500 0.500 0.500
Br1 Br 0.000 0.000 0.000
```

## Properties
**DFT total energy**: -44.86 eV per atom



11.
Density functional theory data (SCAN) for TaZn3Br at its PBEsol-relaxed geometry.

```
data_TaZn3Br
_chemical_formula_sum 'Ta1 Zn3 Br1'
_symmetry_space_group_name_H-M 'P 1'
_symmetry_Int_Tables_number 1
_cell_length_a 5.095
_cell_length_b 5.095
_cell_length_c 5.095
_cell_angle_alpha 90.00
_cell_angle_beta 90.00
_cell_angle_gamma 90.00
loop_
_symmetry_equiv_pos_as_xyz
'x,y,z'
loop_
_atom_site_label
_atom_site_type_symbol
_atom_site_fract_x
_atom_site_fract_y
_atom_site_fract_z
Ta1 Ta 0.000 0.000 0.000
Zn1 Zn 0.000 0.000 0.500
Zn2 Zn 0.000 0.500 0.000
Zn3 Zn 0.500 0.000 0.000
Br1 Br 0.500 0.500 0.500
```

## Properties
**DFT total energy**: -24.26 eV per atom



12.
Density functional theory data (SCAN) for TaZnBr at its PBEsol-relaxed geometry.

```
data_TaZnBr
_chemical_formula_sum 'Ta1 Zn1 Br1'
_symmetry_space_group_name_H-M 'P 1'
_symmetry_Int_Tables_number 1
_cell_length_a 4.311
_cell_length_b 4.311
_cell_length_c 4.311
_cell_angle_alpha 60.00
_cell_angle_beta 60.00
_cell_angle_gamma 60.00
loop_
_symmetry_equiv_pos_as_xyz
'x,y,z'
loop_
_atom_site_label
_atom_site_type_symbol
_atom_site_fract_x
_atom_site_fract_y
_atom_site_fract_z
Ta1 Ta 0.000 0.000 0.000
Zn1 Zn 0.500 0.500 0.500
Br1 Br 0.250 0.250 0.250
```

## Properties
**Energy relative to the lowest polymorph listed for this composition**: 0.0000 eV/atom



13.
Density functional theory data (SCAN) for TaZnBr3 at its PBEsol-relaxed geometry.

```
data_TaZnBr3
_chemical_formula_sum 'Ta1 Zn1 Br3'
_symmetry_space_group_name_H-M 'P 1'
_symmetry_Int_Tables_number 1
_cell_length_a 4.973
_cell_length_b 4.973
_cell_length_c 4.973
_cell_angle_alpha 90.00
_cell_angle_beta 90.00
_cell_angle_gamma 90.00
loop_
_symmetry_equiv_pos_as_xyz
'x,y,z'
loop_
_atom_site_label
_atom_site_type_symbol
_atom_site_fract_x
_atom_site_fract_y
_atom_site_fract_z
Ta1 Ta 0.000 0.000 0.000
Zn1 Zn 0.500 0.500 0.500
Br1 Br 0.000 0.500 0.500
Br2 Br 0.500 0.000 0.500
Br3 Br 0.500 0.500 0.000
```

## Properties
**DFT total energy**: -27.06 eV per atom



14.
Density functional theory data (SCAN) for ZrTa2Br at its PBEsol-relaxed geometry.

```
data_ZrTa2Br
_chemical_formula_sum 'Zr1 Ta2 Br1'
_symmetry_space_group_name_H-M 'P 1'
_symmetry_Int_Tables_number 1
_cell_length_a 5.402
_cell_length_b 5.402
_cell_length_c 3.003
_cell_angle_alpha 90.00
_cell_angle_beta 90.00
_cell_angle_gamma 119.94
loop_
_symmetry_equiv_pos_as_xyz
'x,y,z'
loop_
_atom_site_label
_atom_site_type_symbol
_atom_site_fract_x
_atom_site_fract_y
_atom_site_fract_z
Zr1 Zr 0.000 0.000 0.000
Ta1 Ta 0.000 0.500 0.500
Ta2 Ta 0.500 0.000 0.500
Br1 Br 0.500 0.500 0.000
```

## Properties
**Energy relative to the lowest polymorph listed for this composition**: 0.1374 eV/atom



15.
Density functional theory data (SCAN) for ZrTa2Br at its PBEsol-relaxed geometry.

```
data_ZrTa2Br
_chemical_formula_sum 'Zr1 Ta2 Br1'
_symmetry_space_group_name_H-M 'P 1'
_symmetry_Int_Tables_number 1
_cell_length_a 3.018
_cell_length_b 3.018
_cell_length_c 9.079
_cell_angle_alpha 90.00
_cell_angle_beta 90.00
_cell_angle_gamma 111.94
loop_
_symmetry_equiv_pos_as_xyz
'x,y,z'
loop_
_atom_site_label
_atom_site_type_symbol
_atom_site_fract_x
_atom_site_fract_y
_atom_site_fract_z
Zr1 Zr 0.000 0.000 0.000
Ta1 Ta 0.500 0.500 0.256
Ta2 Ta 0.500 0.500 0.744
Br1 Br 0.000 0.000 0.500
```

## Properties
**Energy relative to the lowest polymorph listed for this composition**: 0.0037 eV/atom



16.
Density functional theory data (SCAN) for ZrTa2Br at its PBEsol-relaxed geometry.

```
data_ZrTa2Br
_chemical_formula_sum 'Zr1 Ta2 Br1'
_symmetry_space_group_name_H-M 'P 1'
_symmetry_Int_Tables_number 1
_cell_length_a 3.297
_cell_length_b 4.435
_cell_length_c 5.142
_cell_angle_alpha 90.00
_cell_angle_beta 90.00
_cell_angle_gamma 90.00
loop_
_symmetry_equiv_pos_as_xyz
'x,y,z'
loop_
_atom_site_label
_atom_site_type_symbol
_atom_site_fract_x
_atom_site_fract_y
_atom_site_fract_z
Zr1 Zr 0.000 0.000 0.000
Ta1 Ta 0.000 0.500 0.500
Ta2 Ta 0.500 0.000 0.500
Br1 Br 0.500 0.500 0.000
```

## Properties
**Energy relative to the lowest polymorph listed for this composition**: 0.0000 eV/atom



17.
Density functional theory data (SCAN) for Zr2TaBr at its PBEsol-relaxed geometry.

```
data_Zr2TaBr
_chemical_formula_sum 'Zr2 Ta1 Br1'
_symmetry_space_group_name_H-M 'P 1'
_symmetry_Int_Tables_number 1
_cell_length_a 3.450
_cell_length_b 3.450
_cell_length_c 7.457
_cell_angle_alpha 90.00
_cell_angle_beta 90.00
_cell_angle_gamma 90.00
loop_
_symmetry_equiv_pos_as_xyz
'x,y,z'
loop_
_atom_site_label
_atom_site_type_symbol
_atom_site_fract_x
_atom_site_fract_y
_atom_site_fract_z
Zr1 Zr 0.000 0.000 0.000
Zr2 Zr 0.500 0.500 0.233
Ta1 Ta 0.500 0.500 0.816
Br1 Br 0.000 0.000 0.442
```

## Properties
**DFT total energy**: -36.69 eV per atom



18.
Density functional theory data (SCAN) for Tb5Br8 at its PBEsol-relaxed geometry.

```
data_Tb5Br8
_chemical_formula_sum 'Tb5 Br8'
_symmetry_space_group_name_H-M 'P 1'
_symmetry_Int_Tables_number 1
_cell_length_a 10.038
_cell_length_b 10.038
_cell_length_c 13.622
_cell_angle_alpha 130.23
_cell_angle_beta 130.23
_cell_angle_gamma 21.69
loop_
_symmetry_equiv_pos_as_xyz
'x,y,z'
loop_
_atom_site_label
_atom_site_type_symbol
_atom_site_fract_x
_atom_site_fract_y
_atom_site_fract_z
Tb1 Tb 0.000 0.000 0.000
Tb2 Tb 0.156 0.156 0.670
Tb3 Tb 0.485 0.485 0.617
Tb4 Tb 0.515 0.515 0.383
Tb5 Tb 0.844 0.844 0.330
Br1 Br 0.035 0.035 0.236
Br2 Br 0.293 0.293 0.430
Br3 Br 0.329 0.329 0.158
Br4 Br 0.361 0.361 0.896
Br5 Br 0.639 0.639 0.104
Br6 Br 0.671 0.671 0.842
Br7 Br 0.707 0.707 0.570
Br8 Br 0.965 0.965 0.764
```

## Properties
**DFT total energy**: -31.62 eV per atom



19.
Density functional theory data (SCAN) for TcBr3 at its PBEsol-relaxed geometry.

```
data_TcBr3
_chemical_formula_sum 'Tc1 Br3'
_symmetry_space_group_name_H-M 'P 1'
_symmetry_Int_Tables_number 1
_cell_length_a 5.179
_cell_length_b 5.179
_cell_length_c 3.346
_cell_angle_alpha 90.00
_cell_angle_beta 90.00
_cell_angle_gamma 90.06
loop_
_symmetry_equiv_pos_as_xyz
'x,y,z'
loop_
_atom_site_label
_atom_site_type_symbol
_atom_site_fract_x
_atom_site_fract_y
_atom_site_fract_z
Tc1 Tc 0.000 0.000 0.000
Br1 Br 0.000 0.500 0.500
Br2 Br 0.500 0.000 0.500
Br3 Br 0.500 0.500 0.000
```

## Properties
**Energy relative to the lowest polymorph listed for this composition**: 1.2354 eV/atom



20.
Density functional theory data (SCAN) for Tc2Br at its PBEsol-relaxed geometry.

```
data_Tc2Br
_chemical_formula_sum 'Tc2 Br1'
_symmetry_space_group_name_H-M 'P 1'
_symmetry_Int_Tables_number 1
_cell_length_a 2.905
_cell_length_b 2.905
_cell_length_c 6.294
_cell_angle_alpha 90.00
_cell_angle_beta 90.00
_cell_angle_gamma 120.00
loop_
_symmetry_equiv_pos_as_xyz
'x,y,z'
loop_
_atom_site_label
_atom_site_type_symbol
_atom_site_fract_x
_atom_site_fract_y
_atom_site_fract_z
Tc1 Tc 0.333 0.667 0.345
Tc2 Tc 0.667 0.333 0.655
Br1 Br 0.000 0.000 0.000
```

## Properties
**Energy relative to the lowest polymorph listed for this composition**: 0.0000 eV/atom